First-principles (PBE) data for a geometry-optimized YGeNCl2 structure, as listed in the Alexandria database.

Summary:
As for the total moment: 0.00 μB/cell. Its space group is No. 123. The formation energy from raw total energies comes out at 0.2534 eV/atom.

Cell and atoms, written as POSCAR:
```
YGeNCl2
1.0
4.532 0.000 0.000
0.000 4.532 0.000
0.000 0.000 4.494
Y Ge N Cl
1 1 1 2
direct
0.000 0.000 0.000
0.500 0.500 0.000
0.500 0.500 0.500
0.000 0.500 0.500
0.500 0.000 0.500
```